# 1
# Tb2PrHo9

An optimized crystal structure of Tb2PrHo9 (PBE, the Alexandria database).

Cell and atoms, written as CIF:
```
data_Tb2PrHo9
_space_group_name_H-M_alt 'P 4/m m m'
_space_group_IT_number 123
_space_group_name_Hall '-P 4 2'
_cell_length_a 5.013
_cell_length_b 5.013
_cell_length_c 15.043
_cell_angle_alpha 90.00
_cell_angle_beta 90.00
_cell_angle_gamma 90.00
loop_
_atom_site_label
_atom_site_fract_x
_atom_site_fract_y
_atom_site_fract_z
_atom_site_occupancy
Tb1 0.000 0.000 0.166 1
Pr1 0.000 0.000 0.500 1
Ho1 0.000 0.500 0.000 1
Ho2 0.000 0.500 0.331 1
Ho3 0.500 0.500 0.165 1
Ho4 0.500 0.500 0.500 1
```

Its formation energy is 23 meV/atom. The calculation puts the total energy at -54.969 eV for the cell shown. The calculation puts the distance to the lowest polymorph of the same formula at 0.000 eV/f.u. The calculation puts the total magnetization at 0.00 μB/f.u.



# 2
# Tb12Pr7Ho

An optimized crystal structure of Tb12Pr7Ho (PBE, the Alexandria database).

Cell and atoms, written as CIF:
```
data_Tb12Pr7Ho
_space_group_name_H-M_alt 'I m -3 m'
_space_group_IT_number 229
_space_group_name_Hall '-I 4 2 3'
_cell_length_a 11.405
_cell_length_b 11.405
_cell_length_c 11.405
_cell_angle_alpha 90.00
_cell_angle_beta 90.00
_cell_angle_gamma 90.00
loop_
_atom_site_label
_atom_site_fract_x
_atom_site_fract_y
_atom_site_fract_z
_atom_site_occupancy
Tb1 0.000 0.246 0.246 1
Pr1 0.000 0.000 0.500 1
Pr2 0.250 0.250 0.250 1
Ho1 0.000 0.000 0.000 1
```

Its formation energy is 621 meV/atom. The calculation puts the total energy at -162.336 eV for the cell shown. The calculation puts the distance to the lowest polymorph of the same formula at 7.901 eV/f.u. The calculation puts the total magnetization at 0.00 μB/f.u.



# 3
# TbPrHo4

An optimized crystal structure of TbPrHo4 (PBE, the Alexandria database).

Cell and atoms, written as CIF:
```
data_TbPrHo4
_space_group_name_H-M_alt 'C 1 2/c 1'
_space_group_IT_number 15
_cell_length_a 10.725
_cell_length_b 6.195
_cell_length_c 12.077
_cell_angle_alpha 90.00
_cell_angle_beta 107.15
_cell_angle_gamma 90.00
loop_
_space_group_symop_operation_xyz
'x,y,z'
'-x,-y,-z'
'-x,y,-z+1/2'
'x,-y,z+1/2'
'x+1/2,y+1/2,z'
'-x+1/2,-y+1/2,-z'
'-x+1/2,y+1/2,-z+1/2'
'x+1/2,-y+1/2,z+1/2'
loop_
_atom_site_label
_atom_site_fract_x
_atom_site_fract_y
_atom_site_fract_z
_atom_site_occupancy
Tb1 0.250 0.250 0.000 1
Pr1 0.000 0.081 0.750 1
Ho1 0.084 0.252 0.500 1
Ho2 0.167 0.417 0.250 1
```

Its formation energy is 10 meV/atom. The calculation puts the total energy at -110.636 eV for the cell shown. The calculation puts the distance to the lowest polymorph of the same formula at 0.098 eV/f.u. The calculation puts the total magnetization at 0.00 μB/f.u.